# CaPuInPb, relaxed, DFT PBE
data_CaPuInPb
_chemical_formula_sum 'Ca1 Pu1 In1 Pb1'
_space_group_name_H-M_alt 'P m m m'
_space_group_IT_number 47
_cell_length_a 3.656
_cell_length_b 5.569
_cell_length_c 5.674
_cell_angle_alpha 90.00
_cell_angle_beta 90.00
_cell_angle_gamma 90.00
loop_
_space_group_symop_operation_xyz
'x,y,z'
'-x,-y,-z'
'-x,-y,z'
'x,y,-z'
'x,-y,-z'
'-x,y,z'
'-x,y,-z'
'x,-y,z'
loop_
_atom_site_label
_atom_site_fract_x
_atom_site_fract_y
_atom_site_fract_z
_atom_site_occupancy
Ca1 0.000 0.000 0.000 1
Pu1 0.000 0.500 0.500 1
In1 0.500 0.000 0.500 1
Pb1 0.500 0.500 0.000 1
# * energy of formation from the pure elements: -0.268 eV per atom
# * crystal system: orthorhombic
# * N(E_F): 11.05 states/eV/cell

# CaPuInPb, relaxed, DFT PBE
data_CaPuInPb
_chemical_formula_sum 'Ca4 Pu4 In4 Pb4'
_space_group_name_H-M_alt 'F -4 3 m'
_space_group_IT_number 216
_space_group_name_Hall 'F -4 2 3'
_cell_length_a 7.747
_cell_length_b 7.747
_cell_length_c 7.747
_cell_angle_alpha 90.00
_cell_angle_beta 90.00
_cell_angle_gamma 90.00
loop_
_atom_site_label
_atom_site_fract_x
_atom_site_fract_y
_atom_site_fract_z
_atom_site_occupancy
Ca1 0.000 0.000 0.000 1
Pu1 0.000 0.000 0.500 1
In1 0.250 0.250 0.250 1
Pb1 0.250 0.250 0.750 1
# * energy of formation from the pure elements: -0.258 eV per atom
# * crystal system: cubic
# * N(E_F): 55.11 states/eV/cell

# CaIn4PbSe8, relaxed, DFT PBE
data_CaIn4PbSe8
_chemical_formula_sum 'Ca3 In12 Pb3 Se24'
_space_group_name_H-M_alt 'R 3 m'
_space_group_IT_number 160
_space_group_name_Hall 'R 3 -2"'
_cell_length_a 8.3080
_cell_length_b 8.3080
_cell_length_c 20.9447
_cell_angle_alpha 90.00
_cell_angle_beta 90.00
_cell_angle_gamma 120.00
loop_
_atom_site_label
_atom_site_fract_x
_atom_site_fract_y
_atom_site_fract_z
_atom_site_occupancy
Ca1 0.0000 0.0000 0.0000 1
In1 0.0000 0.0000 0.7560 1
In2 0.0071 0.5036 0.8734 1
Pb1 0.0000 0.0000 0.3648 1
Se1 0.0000 0.0000 0.1346 1
Se2 0.0000 0.0000 0.6156 1
Se3 0.0194 0.5097 0.1297 1
Se4 0.1741 0.3482 0.9422 1
# * raw formation energy: -9.1 eV per formula unit
# * crystal system: trigonal
# * N(E_F): 11.08 states/eV/cell

# CaInSiPb2, relaxed, DFT PBE
data_CaInSiPb2
_chemical_formula_sum 'Ca1 In1 Si1 Pb2'
_space_group_name_H-M_alt 'P 4/m m m'
_space_group_IT_number 123
_space_group_name_Hall '-P 4 2'
_cell_length_a 5.660
_cell_length_b 5.660
_cell_length_c 5.857
_cell_angle_alpha 90.00
_cell_angle_beta 90.00
_cell_angle_gamma 90.00
loop_
_atom_site_label
_atom_site_fract_x
_atom_site_fract_y
_atom_site_fract_z
_atom_site_occupancy
Ca1 0.000 0.000 0.000 1
In1 0.000 0.000 0.500 1
Si1 0.500 0.500 0.000 1
Pb1 0.000 0.500 0.500 1
# * raw formation energy: 3.6 eV per formula unit
# * crystal system: tetragonal
# * N(E_F): 3.50 states/eV/cell

# CaInSnPb, relaxed, DFT PBE
data_CaInSnPb
_chemical_formula_sum 'Ca1 In1 Sn1 Pb1'
_space_group_name_H-M_alt 'P m m m'
_space_group_IT_number 47
_cell_length_a 4.650
_cell_length_b 4.901
_cell_length_c 4.906
_cell_angle_alpha 90.00
_cell_angle_beta 90.00
_cell_angle_gamma 90.00
loop_
_space_group_symop_operation_xyz
'x,y,z'
'-x,-y,-z'
'-x,-y,z'
'x,y,-z'
'x,-y,-z'
'-x,y,z'
'-x,y,-z'
'x,-y,z'
loop_
_atom_site_label
_atom_site_fract_x
_atom_site_fract_y
_atom_site_fract_z
_atom_site_occupancy
Ca1 0.000 0.000 0.000 1
In1 0.000 0.500 0.500 1
Sn1 0.500 0.000 0.500 1
Pb1 0.500 0.500 0.000 1
# * energy of formation from the pure elements: -0.344 eV per atom
# * crystal system: orthorhombic
# * N(E_F): 1.46 states/eV/cell

# Ca2InSnPb, relaxed, DFT PBE
data_Ca2InSnPb
_chemical_formula_sum 'Ca4 In2 Sn2 Pb2'
_space_group_name_H-M_alt 'P 1 21/m 1'
_space_group_IT_number 11
_cell_length_a 8.460
_cell_length_b 4.622
_cell_length_c 8.866
_cell_angle_alpha 90.00
_cell_angle_beta 116.96
_cell_angle_gamma 90.00
loop_
_space_group_symop_operation_xyz
'x,y,z'
'-x,-y,-z'
'-x,y+1/2,-z'
'x,-y+1/2,z'
loop_
_atom_site_label
_atom_site_fract_x
_atom_site_fract_y
_atom_site_fract_z
_atom_site_occupancy
Ca1 0.172 0.250 0.197 1
Ca2 0.197 0.750 0.588 1
In1 0.355 0.750 0.000 1
Sn1 0.103 0.250 0.804 1
Pb1 0.474 0.250 0.607 1
# * energy of formation from the pure elements: -0.390 eV per atom
# * crystal system: monoclinic
# * N(E_F): 4.86 states/eV/cell

# CaTbInPb, relaxed, DFT PBE
data_CaTbInPb
_chemical_formula_sum 'Ca4 Tb4 In4 Pb4'
_space_group_name_H-M_alt 'F -4 3 m'
_space_group_IT_number 216
_space_group_name_Hall 'F -4 2 3'
_cell_length_a 7.710
_cell_length_b 7.710
_cell_length_c 7.710
_cell_angle_alpha 90.00
_cell_angle_beta 90.00
_cell_angle_gamma 90.00
loop_
_atom_site_label
_atom_site_fract_x
_atom_site_fract_y
_atom_site_fract_z
_atom_site_occupancy
Ca1 0.000 0.000 0.000 1
Tb1 0.000 0.000 0.500 1
In1 0.250 0.250 0.750 1
Pb1 0.250 0.250 0.250 1
# * energy of formation from the pure elements: -0.431 eV per atom
# * crystal system: cubic
# * N(E_F): 8.15 states/eV/cell

# CaThInPb, relaxed, DFT PBE
data_CaThInPb
_chemical_formula_sum 'Ca4 Th4 In4 Pb4'
_space_group_name_H-M_alt 'F -4 3 m'
_space_group_IT_number 216
_space_group_name_Hall 'F -4 2 3'
_cell_length_a 7.805
_cell_length_b 7.805
_cell_length_c 7.805
_cell_angle_alpha 90.00
_cell_angle_beta 90.00
_cell_angle_gamma 90.00
loop_
_atom_site_label
_atom_site_fract_x
_atom_site_fract_y
_atom_site_fract_z
_atom_site_occupancy
Ca1 0.000 0.000 0.000 1
Th1 0.000 0.000 0.500 1
In1 0.250 0.250 0.750 1
Pb1 0.250 0.250 0.250 1
# * energy of formation from the pure elements: -0.276 eV per atom
# * crystal system: cubic
# * N(E_F): 13.88 states/eV/cell

# CaTlIn2Pb, relaxed, DFT PBE
data_CaTlIn2Pb
_chemical_formula_sum 'Ca4 Tl4 In8 Pb4'
_space_group_name_H-M_alt 'C m c m'
_space_group_IT_number 63
_space_group_name_Hall '-C 2c 2'
_cell_length_a 4.555
_cell_length_b 11.575
_cell_length_c 11.546
_cell_angle_alpha 90.00
_cell_angle_beta 90.00
_cell_angle_gamma 90.00
loop_
_atom_site_label
_atom_site_fract_x
_atom_site_fract_y
_atom_site_fract_z
_atom_site_occupancy
Ca1 0.000 0.084 0.250 1
Tl1 0.000 0.500 0.000 1
In1 0.000 0.227 0.587 1
Pb1 0.000 0.370 0.250 1
# * energy of formation from the pure elements: -0.146 eV per atom
# * crystal system: orthorhombic
# * N(E_F): 9.29 states/eV/cell

# CaTlInPb, relaxed, DFT PBE
data_CaTlInPb
_chemical_formula_sum 'Ca1 Tl1 In1 Pb1'
_space_group_name_H-M_alt 'P m m m'
_space_group_IT_number 47
_cell_length_a 4.685
_cell_length_b 4.908
_cell_length_c 4.940
_cell_angle_alpha 90.00
_cell_angle_beta 90.00
_cell_angle_gamma 90.00
loop_
_space_group_symop_operation_xyz
'x,y,z'
'-x,-y,-z'
'-x,-y,z'
'x,y,-z'
'x,-y,-z'
'-x,y,z'
'-x,y,-z'
'x,-y,z'
loop_
_atom_site_label
_atom_site_fract_x
_atom_site_fract_y
_atom_site_fract_z
_atom_site_occupancy
Ca1 0.000 0.000 0.000 1
Tl1 0.500 0.500 0.000 1
In1 0.000 0.500 0.500 1
Pb1 0.500 0.000 0.500 1
# * energy of formation from the pure elements: -0.288 eV per atom
# * crystal system: orthorhombic
# * N(E_F): 2.17 states/eV/cell

# CaTl2InPb, relaxed, DFT PBE
data_CaTl2InPb
_chemical_formula_sum 'Ca4 Tl8 In4 Pb4'
_space_group_name_H-M_alt 'C m c m'
_space_group_IT_number 63
_space_group_name_Hall '-C 2c 2'
_cell_length_a 3.780
_cell_length_b 14.902
_cell_length_c 10.912
_cell_angle_alpha 90.00
_cell_angle_beta 90.00
_cell_angle_gamma 90.00
loop_
_atom_site_label
_atom_site_fract_x
_atom_site_fract_y
_atom_site_fract_z
_atom_site_occupancy
Ca1 0.000 0.143 0.250 1
Tl1 0.000 0.201 0.600 1
In1 0.000 0.451 0.250 1
Pb1 0.000 0.000 0.000 1
# * energy of formation from the pure elements: -0.106 eV per atom
# * crystal system: orthorhombic
# * N(E_F): 9.94 states/eV/cell

# CaTlInPb, relaxed, DFT PBE
data_CaTlInPb
_chemical_formula_sum 'Ca4 Tl4 In4 Pb4'
_space_group_name_H-M_alt 'F -4 3 m'
_space_group_IT_number 216
_space_group_name_Hall 'F -4 2 3'
_cell_length_a 7.798
_cell_length_b 7.798
_cell_length_c 7.798
_cell_angle_alpha 90.00
_cell_angle_beta 90.00
_cell_angle_gamma 90.00
loop_
_atom_site_label
_atom_site_fract_x
_atom_site_fract_y
_atom_site_fract_z
_atom_site_occupancy
Ca1 0.000 0.000 0.000 1
Tl1 0.250 0.250 0.750 1
In1 0.000 0.000 0.500 1
Pb1 0.250 0.250 0.250 1
# * energy of formation from the pure elements: -0.223 eV per atom
# * crystal system: cubic
# * N(E_F): 7.76 states/eV/cell

# CaTmInPb, relaxed, DFT PBE
data_CaTmInPb
_chemical_formula_sum 'Ca4 Tm4 In4 Pb4'
_space_group_name_H-M_alt 'F -4 3 m'
_space_group_IT_number 216
_space_group_name_Hall 'F -4 2 3'
_cell_length_a 7.660
_cell_length_b 7.660
_cell_length_c 7.660
_cell_angle_alpha 90.00
_cell_angle_beta 90.00
_cell_angle_gamma 90.00
loop_
_atom_site_label
_atom_site_fract_x
_atom_site_fract_y
_atom_site_fract_z
_atom_site_occupancy
Ca1 0.000 0.000 0.000 1
Tm1 0.000 0.000 0.500 1
In1 0.250 0.250 0.250 1
Pb1 0.250 0.250 0.750 1
# * energy of formation from the pure elements: -0.395 eV per atom
# * crystal system: cubic
# * N(E_F): 9.69 states/eV/cell